Here is crystalline PuMnInO6 at its relaxed geometry from the Alexandria database. Energies are from PBE+U.

Values from the calculation:
The density of states at the Fermi level comes out at 0.1 states/eV/cell. For the calculated density, the calculation gives 7.10 g cm⁻³. The electronic total energy comes out at -142.3 eV for the cell shown.

```
18
Lattice="5.4413 0.0000 0.0000 -2.7207 4.7123 0.0000 0.0000 0.0000 9.2973" Properties=species:S:1:pos:R:3 pbc="T T T"
Pu 0.0000 3.1416 2.3243
Pu 2.7207 1.5708 6.9730
Mn 0.0000 0.0000 0.0000
Mn 0.0000 0.0000 4.6486
In 0.0000 3.1416 6.9730
In 2.7207 1.5708 2.3243
O -0.8281 1.6547 1.2000
O -1.7017 3.1678 3.4486
O 0.8281 1.6547 3.4486
O -0.8736 4.6022 1.2000
O 1.8471 0.1102 5.8487
O 1.0190 1.5445 8.0972
O 1.7017 3.1678 1.2000
O 0.8736 4.6022 3.4486
O 3.5943 0.1102 8.0972
O 1.8926 3.0576 5.8487
O 4.4224 1.5445 5.8487
O 3.5488 3.0576 8.0972
```